Here is a relaxed structure of AcCrBrO4 from the Alexandria database. Energies are from GGA+U.

Volume, Å³ per atom: 20.46
Calculated total energy, eV/atom: -6.740

Unit cell a=6.622 b=6.622 c=7.129 alpha=78.94 beta=78.94 gamma=70.53
Positions (direct):
1 Ac 0.235 0.235 0.860
2 Ac 0.765 0.765 0.140
3 Cr 0.636 0.636 0.742
4 Cr 0.364 0.364 0.258
5 Br 0.026 0.026 0.245
6 Br 0.974 0.974 0.755
7 O 0.292 0.292 0.490
8 O 0.708 0.708 0.510
9 O 0.146 0.492 0.142
10 O 0.518 0.518 0.234
11 O 0.508 0.854 0.858
12 O 0.492 0.146 0.142
13 O 0.482 0.482 0.766
14 O 0.854 0.508 0.858